VASP calculation (PBE-GGA) on an optimized crystal structure of LuZnSb.

abc: 4.883 4.883 4.883
angles: 60.00 60.00 60.00
Fractional positions:
Lu1 0.000 0.000 0.000
Zn1 0.500 0.500 0.500
Sb1 0.250 0.250 0.250

- Size of the total moment: 0.00 μB/cell
- E above lowest polymorph: 71.3 kJ/mol of formula units
- Calculated density: 7.30 g/cm3
- Space group: No. 216